Entry 1:
ZrNbH2: relaxed, PBE-GGA.

- Symmetry: Fm-3m (225)

Cell lengths 4.0218, 4.0218, 4.0218 Å; angles 60.00, 60.00, 60.00 degrees
Last column: nearest neighbours and their distance in Å.
Atoms (fractional coordinates):
H (0.2500, 0.2500, 0.2500)  4 Zr 2.46, 4 Nb 2.46
H (0.7500, 0.7500, 0.7500)  4 Zr 2.46, 4 Nb 2.46
Zr (0.0000, 0.0000, 0.0000)  8 H 2.46
Nb (0.5000, 0.5000, 0.5000)  8 H 2.46

=====

Entry 2:
ZrNbH2: relaxed, PBE-GGA.

- Symmetry: I-42d (122)

Cell lengths 5.0483, 5.0483, 5.0917 Å; angles 60.28, 60.28, 90.00 degrees
Last column: nearest neighbours and their distance in Å.
Atoms (fractional coordinates):
H (0.3750, 0.3567, 0.7500)  2 Nb 1.95, 2 Zr 2.06
H (0.6433, 0.1250, 0.2500)  2 Nb 1.95, 2 Zr 2.06
H (0.1067, 0.6250, 0.2500)  2 Nb 1.95, 2 Zr 2.06
H (0.8750, 0.8933, 0.7500)  2 Nb 1.95, 2 Zr 2.06
Zr (0.2500, 0.7500, 0.5000)  4 H 2.06
Zr (0.5000, 0.5000, 0.0000)  4 H 2.06
Nb (0.7500, 0.2500, 0.5000)  4 H 1.95
Nb (0.0000, 0.0000, 0.0000)  4 H 1.95

=====

Entry 3:
Zr2NbH: relaxed, PBE-GGA.

- Symmetry: Fm-3m (225)

Cell lengths 4.6512, 4.6512, 4.6512 Å; angles 60.00, 60.00, 60.00 degrees
Last column: nearest neighbours and their distance in Å.
Atoms (fractional coordinates):
Zr (0.2500, 0.2500, 0.2500)  4 H 2.85, 4 Nb 2.85
Zr (0.7500, 0.7500, 0.7500)  4 H 2.85, 4 Nb 2.85
Nb (0.5000, 0.5000, 0.5000)  8 Zr 2.85
H (0.0000, 0.0000, 0.0000)  8 Zr 2.85

=====

no.,Fermi-level density of states (states/eV/cell),size of the total moment (μB/cell),electronic total energy (eV for the cell shown)
1,1.35,0.0,-24.04
2,4.47,0.0,-53.02
3,2.98,0.0,-28.04